{"formula": "NdFeSeO2", "functional": "PBE+U", "state": "optimized geometry", "final_energy_ev_per_atom": -6.54, "vol_a3_per_atom": 17.74, "total_magnetization_mub_per_cell": 6.00, "crystal_system": "orthorhombic", "lattice": [[5.426, 0.000, 0.000], [0.000, 5.631, 0.000], [0.000, -2.815, 5.805]], "species": ["Fe", "Fe", "O", "O", "O", "O", "Nd", "Nd", "Se", "Se"], "fractional_positions": [[0.250, 0.008, 0.016], [0.750, 0.992, 0.984], [0.000, 0.240, 0.000], [0.000, 0.760, 0.000], [0.500, 0.240, 0.000], [0.500, 0.760, 0.000], [0.750, 0.375, 0.751], [0.250, 0.625, 0.249], [0.250, 0.239, 0.477], [0.750, 0.761, 0.523]]}